## w
Density functional theory data (PBE) for a relaxed ZrNiPCl2 crystal. Values from VASP.

```
&SYSTEM
  ibrav = 0, nat = 5, ntyp = 4
/
ATOMIC_SPECIES
Zr 91.22 Zr.upf
Ni 58.69 Ni.upf
P 30.97 P.upf
Cl 35.45 Cl.upf
CELL_PARAMETERS angstrom
4.3692 0.0000 0.0000
0.0000 4.3692 0.0000
0.0000 0.0000 4.8591
ATOMIC_POSITIONS crystal
Zr 0.0000 0.0000 0.0000
Ni 0.5000 0.5000 0.5000
P 0.5000 0.5000 0.0000
Cl 0.0000 0.5000 0.5000
Cl 0.5000 0.0000 0.5000
```

Space group: P4/mmm, No. 123

## x
Density functional theory data (PBE) for a relaxed ZrNiPCl2 crystal. Values from VASP.

```
&SYSTEM
  ibrav = 0, nat = 5, ntyp = 4
/
ATOMIC_SPECIES
Zr 91.22 Zr.upf
Ni 58.69 Ni.upf
P 30.97 P.upf
Cl 35.45 Cl.upf
CELL_PARAMETERS angstrom
4.9286 0.0000 0.0000
0.0000 4.9286 0.0000
0.0000 0.0000 5.2215
ATOMIC_POSITIONS crystal
Zr 0.0000 0.0000 0.0000
Ni 0.5000 0.5000 0.5000
P 0.0000 0.0000 0.5000
Cl 0.0000 0.5000 0.0000
Cl 0.5000 0.0000 0.0000
```

Space group: P4/mmm, No. 123

Compare the structures above. Which one is the least stable? x is.